## OsPt3 (PBE)

Data for crystalline OsPt3 at its relaxed geometry.

Output
- N(E_F): 1.00 states/eV/atom
- Size of the total moment: 0.00 μB per formula unit
- ΔH_f (0 K): 0.3 eV/f.u.

Unit cell a=4.800 b=4.800 c=4.858 alpha=99.34 beta=99.34 gamma=33.60
Element x y z (fractional)
Os: 0.000 0.000 0.000
Pt: 0.256 0.256 0.759
Pt: 0.500 0.500 0.500
Pt: 0.744 0.744 0.241

***

## TiBiB2Rh (PBE)

Data for crystalline TiBiB2Rh at its relaxed geometry.

Output
- N(E_F): 1.16 states/eV/atom
- Size of the total moment: 0.07 μB per formula unit
- ΔH_f (0 K): 4.1 eV/f.u.

Unit cell a=4.027 b=4.027 c=5.750 alpha=90.00 beta=90.00 gamma=90.00
Element x y z (fractional)
Ti: 0.000 0.000 0.000
Bi: 0.500 0.500 0.000
B: 0.000 0.500 0.500
B: 0.500 0.000 0.500
Rh: 0.500 0.500 0.500

***

## Hf2MoRhPb (PBE)

Data for crystalline Hf2MoRhPb at its relaxed geometry.

Output
- N(E_F): 1.62 states/eV/atom
- Size of the total moment: 1.89 μB per formula unit
- ΔH_f (0 K): 4.2 eV/f.u.

Unit cell a=4.928 b=4.928 c=5.003 alpha=90.00 beta=90.00 gamma=90.00
Element x y z (fractional)
Hf: 0.000 0.500 0.000
Hf: 0.500 0.000 0.000
Mo: 0.000 0.000 0.500
Rh: 0.500 0.500 0.000
Pb: 0.500 0.500 0.500